GGA-PBE Ho5Tl4Rh, relaxed; E_tot = -4.248 eV per atom; formation enthalpy at 0 K = -2.77 eV/f.u.; space-group type = I4 (79)
1.0
5.763 0.000 0.000
2.881 7.014 0.000
2.881 0.000 7.014
Ho Tl Rh
5 4 1
direct
0.769 0.100 0.363
0.232 0.900 0.637
0.870 0.363 0.900
0.132 0.637 0.100
0.502 0.000 0.000
0.450 0.394 0.708
0.158 0.292 0.394
0.844 0.708 0.606
0.552 0.606 0.292
0.002 0.000 0.000